Below is an optimized crystal structure of RbReHg3O4, with properties calculated at the PBE level.

extended XYZ file:
```
9
Lattice="-3.5521 -5.5198 2.5502 6.0803 -3.2056 1.5308 -0.0390 2.9741 6.3829" Properties=species:S:1:pos:R:3 pbc="T T T"
O -0.1545 -2.7802 6.3028
O 2.6324 -2.1106 6.0079
O 0.8845 -2.0436 3.7182
O 1.6159 -4.5681 4.8989
Re 1.2446 -2.8756 5.2320
Hg 3.0206 -0.1157 3.9569
Hg 1.2641 -4.3627 2.0405
Hg -1.7956 -1.2728 4.4666
Rb 0.0000 0.0000 0.0000
```

## Properties
Calculated total energy = -4.717 eV per atom
Total magnetization = 0.000 μB/atom

---

Below is an optimized crystal structure of Rb2Sn2Hg3O8, with properties calculated at the PBE level.

extended XYZ file:
```
15
Lattice="-2.5398 -3.7167 3.5767 5.9761 1.6255 1.4063 -3.0891 7.2214 2.3704" Properties=species:S:1:pos:R:3 pbc="T T T"
O -3.2489 3.2695 5.7052
O -0.5319 -0.4647 2.5633
O 0.8792 5.5950 4.7901
O -1.9547 1.7864 3.9032
O 0.7185 2.6291 6.0915
O 2.3019 3.3438 3.4502
O -0.3712 2.5012 1.2620
O 3.5962 1.8608 1.6482
Sn 1.9620 4.0587 5.4022
Sn -1.6148 1.0715 1.9512
Hg 1.6543 7.4166 3.4606
Hg 1.4435 4.4235 1.8883
Hg -1.3071 -2.2864 3.8929
Rb -1.5279 4.7681 3.7931
Rb 1.8751 0.3621 3.5603
```

## Properties
Calculated total energy = -4.346 eV per atom